The following is a PBE calculation of an optimized crystal structure of Zn2PI8, from Alexandria.

Results
crystal system = monoclinic
E_tot = -2.0873 eV/atom
raw formation energy = -0.24 eV/atom
space group = C2/m

Geometry as CIF:
```
data_Zn2PI8
_chemical_formula_sum 'Zn2 P1 I8'
_cell_length_a 8.8044
_cell_length_b 8.8044
_cell_length_c 6.9366
_cell_angle_alpha 95.44
_cell_angle_beta 95.44
_cell_angle_gamma 60.44
_symmetry_space_group_name_H-M 'P 1'
_symmetry_Int_Tables_number 1
loop_
_symmetry_equiv_pos_as_xyz
'x,y,z'
loop_
_atom_site_label
_atom_site_type_symbol
_atom_site_fract_x
_atom_site_fract_y
_atom_site_fract_z
Zn1 Zn 0.1604 0.1604 0.4450
Zn2 Zn 0.8396 0.8396 0.5550
P1 P 0.0000 0.0000 0.0000
I1 I 0.1504 0.7048 0.7522
I2 I 0.1589 0.1589 0.8241
I3 I 0.2952 0.8496 0.2478
I4 I 0.3271 0.3271 0.3996
I5 I 0.6729 0.6729 0.6004
I6 I 0.7048 0.1504 0.7522
I7 I 0.8411 0.8411 0.1759
I8 I 0.8496 0.2952 0.2478
```

The following is a PBE calculation of an optimized crystal structure of CrCuPdPt, from Alexandria.

Results
crystal system = cubic
E_tot = -6.3371 eV/atom
space group = F-43m
ΔE_f = -0.4 eV/f.u.

Geometry as CIF:
```
data_CrCuPdPt
_chemical_formula_sum 'Cr1 Cu1 Pd1 Pt1'
_cell_length_a 4.3269
_cell_length_b 4.3269
_cell_length_c 4.3269
_cell_angle_alpha 60.00
_cell_angle_beta 60.00
_cell_angle_gamma 60.00
_symmetry_space_group_name_H-M 'P 1'
_symmetry_Int_Tables_number 1
loop_
_symmetry_equiv_pos_as_xyz
'x,y,z'
loop_
_atom_site_label
_atom_site_type_symbol
_atom_site_fract_x
_atom_site_fract_y
_atom_site_fract_z
Cr1 Cr 0.0000 0.0000 0.0000
Cu1 Cu 0.5000 0.5000 0.5000
Pd1 Pd 0.2500 0.2500 0.2500
Pt1 Pt 0.7500 0.7500 0.7500
```

The following is a PBE calculation of an optimized crystal structure of K2Rb2Pb, from Alexandria.

Results
crystal system = tetragonal
E_tot = -1.0940 eV/atom
space group = P4/mmm
ΔE_f = 2.4 eV/f.u.
offset from the most stable computed form = 0.415 eV/atom

Geometry as CIF:
```
data_K2Rb2Pb
_chemical_formula_sum 'K2 Rb2 Pb1'
_cell_length_a 7.3412
_cell_length_b 7.3412
_cell_length_c 7.1051
_cell_angle_alpha 90.00
_cell_angle_beta 90.00
_cell_angle_gamma 90.00
_symmetry_space_group_name_H-M 'P 1'
_symmetry_Int_Tables_number 1
loop_
_symmetry_equiv_pos_as_xyz
'x,y,z'
loop_
_atom_site_label
_atom_site_type_symbol
_atom_site_fract_x
_atom_site_fract_y
_atom_site_fract_z
K1 K 0.0000 0.0000 0.0000
K2 K 0.0000 0.0000 0.5000
Rb1 Rb 0.0000 0.5000 0.0000
Rb2 Rb 0.5000 0.0000 0.0000
Pb1 Pb 0.5000 0.5000 0.5000
```

What did the third record say?
The following is a PBE calculation of an optimized crystal structure of K2Rb2Pb, from Alexandria.

Results
crystal system = tetragonal
E_tot = -1.0940 eV/atom
space group = P4/mmm
ΔE_f = 2.4 eV/f.u.
offset from the most stable computed form = 0.415 eV/atom

Geometry as CIF:
```
data_K2Rb2Pb
_chemical_formula_sum 'K2 Rb2 Pb1'
_cell_length_a 7.3412
_cell_length_b 7.3412
_cell_length_c 7.1051
_cell_angle_alpha 90.00
_cell_angle_beta 90.00
_cell_angle_gamma 90.00
_symmetry_space_group_name_H-M 'P 1'
_symmetry_Int_Tables_number 1
loop_
_symmetry_equiv_pos_as_xyz
'x,y,z'
loop_
_atom_site_label
_atom_site_type_symbol
_atom_site_fract_x
_atom_site_fract_y
_atom_site_fract_z
K1 K 0.0000 0.0000 0.0000
K2 K 0.0000 0.0000 0.5000
Rb1 Rb 0.0000 0.5000 0.0000
Rb2 Rb 0.5000 0.0000 0.0000
Pb1 Pb 0.5000 0.5000 0.5000
```

E_tot of number 3 (K2Rb2Pb)? -1.0940 eV/atom

What is the E_tot in the second record? -6.3371 eV/atom

What is the E_tot in the second record? -6.3371 eV/atom